(1)
Y5Er12Tl2 | PBE | relaxed

Final energy = -4.811 eV/atom
Total moment = 0.00 Bohr magnetons per cell
Formation energy = 1.99 kJ per mole of atoms

Geometry as CIF:
```
data_Y5Er12Tl2
_chemical_formula_sum 'Y10 Er24 Tl4'
_cell_length_a 15.438
_cell_length_b 9.227
_cell_length_c 8.236
_cell_angle_alpha 90.00
_cell_angle_beta 91.34
_cell_angle_gamma 90.00
_space_group_name_H-M_alt 'C 1 2/m 1'
_space_group_IT_number 12
_space_group_name_Hall '-C 2y'
loop_
_atom_site_label
_atom_site_type_symbol
_atom_site_fract_x
_atom_site_fract_y
_atom_site_fract_z
Y1 Y 0.000 0.000 0.000
Y2 Y 0.188 0.500 0.500
Y3 Y 0.237 0.000 0.082
Er1 Er 0.051 0.500 0.821
Er2 Er 0.089 0.000 0.390
Er3 Er 0.124 0.303 0.155
Er4 Er 0.152 0.185 0.739
Tl1 Tl 0.000 0.309 0.500
```

***

(2)
YEr3Tl4 | PBE | relaxed

Final energy = -4.031 eV/atom
Total moment = 0.00 Bohr magnetons per cell
Formation energy = -31.76 kJ per mole of atoms

Geometry as CIF:
```
data_YEr3Tl4
_chemical_formula_sum 'Y1 Er3 Tl4'
_cell_length_a 3.771
_cell_length_b 3.771
_cell_length_c 15.080
_cell_angle_alpha 90.00
_cell_angle_beta 90.00
_cell_angle_gamma 90.00
_space_group_name_H-M_alt 'P 4/m m m'
_space_group_IT_number 123
_space_group_name_Hall '-P 4 2'
loop_
_atom_site_label
_atom_site_type_symbol
_atom_site_fract_x
_atom_site_fract_y
_atom_site_fract_z
Y1 Y 0.000 0.000 0.000
Er1 Er 0.000 0.000 0.252
Er2 Er 0.000 0.000 0.500
Tl1 Tl 0.500 0.500 0.128
Tl2 Tl 0.500 0.500 0.376
```

***

(3)
YEr5Tl6 | PBE | relaxed

Final energy = -3.943 eV/atom
Total moment = 0.00 Bohr magnetons per cell
Formation energy = -30.88 kJ per mole of atoms

Geometry as CIF:
```
data_YEr5Tl6
_chemical_formula_sum 'Y2 Er10 Tl12'
_cell_length_a 9.208
_cell_length_b 16.055
_cell_length_c 5.340
_cell_angle_alpha 90.00
_cell_angle_beta 125.27
_cell_angle_gamma 90.00
_space_group_name_H-M_alt 'C 1 2/m 1'
_space_group_IT_number 12
_space_group_name_Hall '-C 2y'
loop_
_atom_site_label
_atom_site_type_symbol
_atom_site_fract_x
_atom_site_fract_y
_atom_site_fract_z
Y1 Y 0.000 0.000 0.000
Er1 Er 0.000 0.166 0.500
Er2 Er 0.000 0.333 0.000
Er3 Er 0.000 0.500 0.500
Tl1 Tl 0.248 0.500 0.248
Tl2 Tl 0.249 0.333 0.749
```

***

(4)
YEr5Tl4 | PBE | relaxed

Final energy = -3.867 eV/atom
Total moment = 0.00 Bohr magnetons per cell
Formation energy = 0.75 kJ per mole of atoms

Geometry as CIF:
```
data_YEr5Tl4
_chemical_formula_sum 'Y2 Er10 Tl8'
_cell_length_a 8.221
_cell_length_b 9.293
_cell_length_c 8.302
_cell_angle_alpha 90.00
_cell_angle_beta 90.00
_cell_angle_gamma 90.00
_space_group_name_H-M_alt 'P m m n'
_space_group_IT_number 59
loop_
_space_group_symop_operation_xyz
'x,y,z'
'-x,-y,-z'
'-x+1/2,-y+1/2,z'
'x+1/2,y+1/2,-z'
'x+1/2,-y,-z'
'-x+1/2,y,z'
'-x,y+1/2,-z'
'x,-y+1/2,z'
loop_
_atom_site_label
_atom_site_type_symbol
_atom_site_fract_x
_atom_site_fract_y
_atom_site_fract_z
Y1 Y 0.250 0.250 0.165
Er1 Er 0.010 0.555 0.231
Er2 Er 0.250 0.750 0.581
Tl1 Tl 0.080 0.750 0.937
Tl2 Tl 0.250 0.083 0.498
```

***

(5)
YEr8Tl6 | PBE | relaxed

Final energy = -3.935 eV/atom
Total moment = 0.00 Bohr magnetons per cell
Formation energy = -12.00 kJ per mole of atoms

Geometry as CIF:
```
data_YEr8Tl6
_chemical_formula_sum 'Y3 Er24 Tl18'
_cell_length_a 9.0125
_cell_length_b 9.0125
_cell_length_c 19.4952
_cell_angle_alpha 90.00
_cell_angle_beta 90.00
_cell_angle_gamma 120.00
_space_group_name_H-M_alt 'R -3'
_space_group_IT_number 148
_space_group_name_Hall '-R 3'
loop_
_atom_site_label
_atom_site_type_symbol
_atom_site_fract_x
_atom_site_fract_y
_atom_site_fract_z
Y1 Y 0.0000 0.0000 0.0000
Er1 Er 0.0000 0.0000 0.3335
Er2 Er 0.0002 0.3329 0.2238
Tl1 Tl 0.0003 0.3344 0.0650
```

***

(6)
Y2Er5Tl | PBE | relaxed

Final energy = -4.802 eV/atom
Total moment = 0.00 Bohr magnetons per cell
Formation energy = -3.66 kJ per mole of atoms

Geometry as CIF:
```
data_Y2Er5Tl
_chemical_formula_sum 'Y2 Er5 Tl1'
_cell_length_a 6.968
_cell_length_b 6.968
_cell_length_c 6.989
_cell_angle_alpha 119.89
_cell_angle_beta 119.88
_cell_angle_gamma 90.03
_space_group_name_H-M_alt 'P 1'
_space_group_IT_number 1
_space_group_name_Hall 'P 1'
loop_
_atom_site_label
_atom_site_type_symbol
_atom_site_fract_x
_atom_site_fract_y
_atom_site_fract_z
Y1 Y 0.000 0.000 0.000
Y2 Y 0.498 0.499 0.000
Er1 Er 0.499 0.000 0.501
Er2 Er 0.500 0.500 0.501
Er3 Er 0.998 0.000 0.499
Er4 Er 0.999 0.500 0.000
Er5 Er 0.999 0.500 0.500
Tl1 Tl 0.499 0.000 0.000
```

***

(7)
YEr7Tl5 | PBE | relaxed

Final energy = -3.991 eV/atom
Total moment = 2.02 Bohr magnetons per cell
Formation energy = -12.26 kJ per mole of atoms

Geometry as CIF:
```
data_YEr7Tl5
_chemical_formula_sum 'Y2 Er14 Tl10'
_cell_length_a 6.456
_cell_length_b 10.860
_cell_length_c 10.738
_cell_angle_alpha 90.00
_cell_angle_beta 90.00
_cell_angle_gamma 90.00
_space_group_name_H-M_alt 'I m m 2'
_space_group_IT_number 44
_space_group_name_Hall 'I 2 -2'
loop_
_atom_site_label
_atom_site_type_symbol
_atom_site_fract_x
_atom_site_fract_y
_atom_site_fract_z
Y1 Y 0.000 0.000 0.000
Er1 Er 0.000 0.000 0.341
Er2 Er 0.000 0.000 0.656
Er3 Er 0.000 0.305 0.463
Er4 Er 0.000 0.342 0.979
Er5 Er 0.000 0.500 0.703
Tl1 Tl 0.000 0.500 0.240
Tl2 Tl 0.249 0.237 0.218
```

***

(8)
YEr5Tl6 | PBE | relaxed

Final energy = -3.870 eV/atom
Total moment = 0.00 Bohr magnetons per cell
Formation energy = -23.86 kJ per mole of atoms

Geometry as CIF:
```
data_YEr5Tl6
_chemical_formula_sum 'Y2 Er10 Tl12'
_cell_length_a 9.802
_cell_length_b 11.137
_cell_length_c 6.479
_cell_angle_alpha 90.00
_cell_angle_beta 102.64
_cell_angle_gamma 90.00
_space_group_name_H-M_alt 'C 1 2/m 1'
_space_group_IT_number 12
_space_group_name_Hall '-C 2y'
loop_
_atom_site_label
_atom_site_type_symbol
_atom_site_fract_x
_atom_site_fract_y
_atom_site_fract_z
Y1 Y 0.000 0.000 0.000
Er1 Er 0.000 0.167 0.500
Er2 Er 0.000 0.334 0.000
Er3 Er 0.000 0.500 0.500
Tl1 Tl 0.249 0.332 0.749
Tl2 Tl 0.250 0.000 0.747
```

***

(9)
Y3Er6Tl | PBE | relaxed

Final energy = -4.922 eV/atom
Total moment = 0.00 Bohr magnetons per cell
Formation energy = -0.82 kJ per mole of atoms

Geometry as CIF:
```
data_Y3Er6Tl
_chemical_formula_sum 'Y6 Er12 Tl2'
_cell_length_a 12.800
_cell_length_b 3.542
_cell_length_c 14.317
_cell_angle_alpha 90.00
_cell_angle_beta 108.16
_cell_angle_gamma 90.00
_space_group_name_H-M_alt 'P 1 21/m 1'
_space_group_IT_number 11
_space_group_name_Hall '-P 2yb'
loop_
_atom_site_label
_atom_site_type_symbol
_atom_site_fract_x
_atom_site_fract_y
_atom_site_fract_z
Y1 Y 0.010 0.250 0.397
Y2 Y 0.376 0.250 0.998
Y3 Y 0.469 0.250 0.595
Er1 Er 0.138 0.750 0.023
Er2 Er 0.146 0.250 0.808
Er3 Er 0.218 0.250 0.600
Er4 Er 0.255 0.750 0.397
Er5 Er 0.332 0.250 0.217
Er6 Er 0.384 0.750 0.789
Tl1 Tl 0.076 0.250 0.195
```

***

(10)
Y12Er6Tl | PBE | relaxed

Final energy = -5.566 eV/atom
Total moment = 0.00 Bohr magnetons per cell
Formation energy = 7.94 kJ per mole of atoms

Geometry as CIF:
```
data_Y12Er6Tl
_chemical_formula_sum 'Y36 Er18 Tl3'
_cell_length_a 11.8343
_cell_length_b 11.8343
_cell_length_c 14.9919
_cell_angle_alpha 90.00
_cell_angle_beta 90.00
_cell_angle_gamma 120.00
_space_group_name_H-M_alt 'R -3'
_space_group_IT_number 148
_space_group_name_Hall '-R 3'
loop_
_atom_site_label
_atom_site_type_symbol
_atom_site_fract_x
_atom_site_fract_y
_atom_site_fract_z
Y1 Y 0.0079 0.8281 0.3145
Y2 Y 0.0462 0.1975 0.9148
Er1 Er 0.0219 0.5920 0.1893
Tl1 Tl 0.0000 0.0000 0.5000
```

***

(11)
YEr6Tl2 | PBE | relaxed

Final energy = -4.439 eV/atom
Total moment = 0.00 Bohr magnetons per cell
Formation energy = -14.74 kJ per mole of atoms

Geometry as CIF:
```
data_YEr6Tl2
_chemical_formula_sum 'Y2 Er12 Tl4'
_cell_length_a 12.671
_cell_length_b 3.717
_cell_length_c 11.869
_cell_angle_alpha 90.00
_cell_angle_beta 108.27
_cell_angle_gamma 90.00
_space_group_name_H-M_alt 'C 1 2/m 1'
_space_group_IT_number 12
_space_group_name_Hall '-C 2y'
loop_
_atom_site_label
_atom_site_type_symbol
_atom_site_fract_x
_atom_site_fract_y
_atom_site_fract_z
Y1 Y 0.000 0.000 0.000
Er1 Er 0.013 0.000 0.345
Er2 Er 0.185 0.500 0.876
Er3 Er 0.189 0.500 0.583
Tl1 Tl 0.142 0.500 0.209
```

***

(12)
Y2Er3Tl | PBE | relaxed

Final energy = -4.574 eV/atom
Total moment = 0.00 Bohr magnetons per cell
Formation energy = 24.75 kJ per mole of atoms

Geometry as CIF:
```
data_Y2Er3Tl
_chemical_formula_sum 'Y4 Er6 Tl2'
_cell_length_a 5.748
_cell_length_b 6.395
_cell_length_c 10.133
_cell_angle_alpha 90.00
_cell_angle_beta 90.00
_cell_angle_gamma 90.00
_space_group_name_H-M_alt 'I m m m'
_space_group_IT_number 71
_space_group_name_Hall '-I 2 2'
loop_
_atom_site_label
_atom_site_type_symbol
_atom_site_fract_x
_atom_site_fract_y
_atom_site_fract_z
Y1 Y 0.000 0.000 0.185
Er1 Er 0.000 0.500 0.154
Er2 Er 0.000 0.500 0.500
Tl1 Tl 0.000 0.000 0.500
```

***

(13)
Y2Er8Tl | PBE | relaxed

Final energy = -4.739 eV/atom
Total moment = 0.00 Bohr magnetons per cell
Formation energy = -2.87 kJ per mole of atoms

Geometry as CIF:
```
data_Y2Er8Tl
_chemical_formula_sum 'Y4 Er16 Tl2'
_cell_length_a 19.237
_cell_length_b 5.511
_cell_length_c 6.371
_cell_angle_alpha 90.00
_cell_angle_beta 95.10
_cell_angle_gamma 90.00
_space_group_name_H-M_alt 'C 1 2/m 1'
_space_group_IT_number 12
_space_group_name_Hall '-C 2y'
loop_
_atom_site_label
_atom_site_type_symbol
_atom_site_fract_x
_atom_site_fract_y
_atom_site_fract_z
Y1 Y 0.243 0.000 0.331
Er1 Er 0.045 0.000 0.269
Er2 Er 0.079 0.500 0.597
Er3 Er 0.153 0.000 0.802
Er4 Er 0.161 0.500 0.122
Tl1 Tl 0.000 0.500 0.000
```

***

(14)
YEr5Tl2 | PBE | relaxed

Final energy = -4.366 eV/atom
Total moment = 0.05 Bohr magnetons per cell
Formation energy = -11.06 kJ per mole of atoms

Geometry as CIF:
```
data_YEr5Tl2
_chemical_formula_sum 'Y2 Er10 Tl4'
_cell_length_a 3.597
_cell_length_b 10.380
_cell_length_c 12.612
_cell_angle_alpha 90.00
_cell_angle_beta 90.00
_cell_angle_gamma 90.00
_space_group_name_H-M_alt 'I m m m'
_space_group_IT_number 71
_space_group_name_Hall '-I 2 2'
loop_
_atom_site_label
_atom_site_type_symbol
_atom_site_fract_x
_atom_site_fract_y
_atom_site_fract_z
Y1 Y 0.000 0.000 0.000
Er1 Er 0.000 0.228 0.367
Er2 Er 0.000 0.500 0.000
Tl1 Tl 0.000 0.500 0.261
```

***

(15)
YEr4Tl4 | PBE | relaxed

Final energy = -3.947 eV/atom
Total moment = 0.00 Bohr magnetons per cell
Formation energy = -14.34 kJ per mole of atoms

Geometry as CIF:
```
data_YEr4Tl4
_chemical_formula_sum 'Y2 Er8 Tl8'
_cell_length_a 9.476
_cell_length_b 9.476
_cell_length_c 5.783
_cell_angle_alpha 90.00
_cell_angle_beta 90.00
_cell_angle_gamma 90.00
_space_group_name_H-M_alt 'P 42/n'
_space_group_IT_number 86
loop_
_space_group_symop_operation_xyz
'x,y,z'
'-x,-y,-z'
'-y,x+1/2,z+1/2'
'y,-x+1/2,-z+1/2'
'-x+1/2,-y+1/2,z'
'x+1/2,y+1/2,-z'
'y+1/2,-x,z+1/2'
'-y+1/2,x,-z+1/2'
loop_
_atom_site_label
_atom_site_type_symbol
_atom_site_fract_x
_atom_site_fract_y
_atom_site_fract_z
Y1 Y 0.250 0.250 0.250
Er1 Er 0.095 0.829 0.638
Tl1 Tl 0.041 0.146 0.856
```

***

(16)
Y2Er2Tl3 | PBE | relaxed

Final energy = -4.386 eV/atom
Total moment = 0.35 Bohr magnetons per cell
Formation energy = -21.39 kJ per mole of atoms

Geometry as CIF:
```
data_Y2Er2Tl3
_chemical_formula_sum 'Y4 Er4 Tl6'
_cell_length_a 3.512
_cell_length_b 31.760
_cell_length_c 3.561
_cell_angle_alpha 90.00
_cell_angle_beta 90.00
_cell_angle_gamma 90.00
_space_group_name_H-M_alt 'C m m m'
_space_group_IT_number 65
_space_group_name_Hall '-C 2 2'
loop_
_atom_site_label
_atom_site_type_symbol
_atom_site_fract_x
_atom_site_fract_y
_atom_site_fract_z
Y1 Y 0.000 0.068 0.000
Er1 Er 0.000 0.202 0.000
Tl1 Tl 0.000 0.363 0.500
Tl2 Tl 0.000 0.500 0.500
```

***

(17)
YEr2Tl | PBE | relaxed

Final energy = -4.483 eV/atom
Total moment = 5.85 Bohr magnetons per cell
Formation energy = 0.60 kJ per mole of atoms

Geometry as CIF:
```
data_YEr2Tl
_chemical_formula_sum 'Y4 Er8 Tl4'
_cell_length_a 7.698
_cell_length_b 7.698
_cell_length_c 7.698
_cell_angle_alpha 90.00
_cell_angle_beta 90.00
_cell_angle_gamma 90.00
_space_group_name_H-M_alt 'F m -3 m'
_space_group_IT_number 225
_space_group_name_Hall '-F 4 2 3'
loop_
_atom_site_label
_atom_site_type_symbol
_atom_site_fract_x
_atom_site_fract_y
_atom_site_fract_z
Y1 Y 0.000 0.000 0.000
Er1 Er 0.250 0.250 0.250
Tl1 Tl 0.000 0.000 0.500
```

***

(18)
Y12ErTl3 | PBE | relaxed

Final energy = -5.711 eV/atom
Total moment = 2.36 Bohr magnetons per cell
Formation energy = -12.94 kJ per mole of atoms

Geometry as CIF:
```
data_Y12ErTl3
_chemical_formula_sum 'Y12 Er1 Tl3'
_cell_length_a 4.885
_cell_length_b 4.885
_cell_length_c 19.938
_cell_angle_alpha 90.00
_cell_angle_beta 90.00
_cell_angle_gamma 90.00
_space_group_name_H-M_alt 'P 4/m m m'
_space_group_IT_number 123
_space_group_name_Hall '-P 4 2'
loop_
_atom_site_label
_atom_site_type_symbol
_atom_site_fract_x
_atom_site_fract_y
_atom_site_fract_z
Y1 Y 0.000 0.000 0.000
Y2 Y 0.000 0.000 0.245
Y3 Y 0.000 0.000 0.500
Y4 Y 0.000 0.500 0.123
Y5 Y 0.000 0.500 0.370
Er1 Er 0.500 0.500 0.500
Tl1 Tl 0.500 0.500 0.000
Tl2 Tl 0.500 0.500 0.243
```

***

(19)
YEr2Tl2 | PBE | relaxed

Final energy = -4.346 eV/atom
Total moment = 0.00 Bohr magnetons per cell
Formation energy = -27.17 kJ per mole of atoms

Geometry as CIF:
```
data_YEr2Tl2
_chemical_formula_sum 'Y2 Er4 Tl4'
_cell_length_a 3.751
_cell_length_b 5.354
_cell_length_c 14.047
_cell_angle_alpha 90.00
_cell_angle_beta 97.69
_cell_angle_gamma 90.00
_space_group_name_H-M_alt 'P 1 21/m 1'
_space_group_IT_number 11
_space_group_name_Hall '-P 2yb'
loop_
_atom_site_label
_atom_site_type_symbol
_atom_site_fract_x
_atom_site_fract_y
_atom_site_fract_z
Y1 Y 0.148 0.250 0.299
Er1 Er 0.049 0.750 0.099
Er2 Er 0.238 0.750 0.476
Tl1 Tl 0.356 0.250 0.710
Tl2 Tl 0.451 0.750 0.903
```

***

(20)
Y6Er8Tl | PBE | relaxed

Final energy = -5.122 eV/atom
Total moment = 0.00 Bohr magnetons per cell
Formation energy = 5.28 kJ per mole of atoms

Geometry as CIF:
```
data_Y6Er8Tl
_chemical_formula_sum 'Y6 Er8 Tl1'
_cell_length_a 9.9724
_cell_length_b 9.9724
_cell_length_c 5.4768
_cell_angle_alpha 90.00
_cell_angle_beta 90.00
_cell_angle_gamma 120.00
_space_group_name_H-M_alt 'P -6'
_space_group_IT_number 174
_space_group_name_Hall 'P -6'
loop_
_atom_site_label
_atom_site_type_symbol
_atom_site_fract_x
_atom_site_fract_y
_atom_site_fract_z
Y1 Y 0.0099 0.2139 0.0000
Y2 Y 0.4278 0.4201 0.0000
Er1 Er 0.0000 0.0000 0.5000
Er2 Er 0.2123 0.4238 0.5000
Er3 Er 0.3333 0.6667 0.0000
Er4 Er 0.4248 0.1893 0.5000
Tl1 Tl 0.6667 0.3333 0.0000
```